VASP calculation (PBE) on Zr4GaIr after structural relaxation.

a = 5.460 Å, b = 5.460 Å, c = 5.460 Å
α = 104.23°, β = 104.23°, γ = 120.56°
Positions (direct):
Ir 0.000 0.000 0.000
Zr 0.590 0.090 0.180
Ga 0.500 0.500 0.000
Zr 0.910 0.410 0.820
Zr 0.410 0.590 0.500
Zr 0.090 0.910 0.500

Offset from the most stable computed form ... 0.005 eV/atom
Calculated density ... 8.552 Mg/m³
Space group ... No. 97
ΔH_f (0 K) ... -0.538 eV per atom
Magnetization ... 0.00 μB per cell